Entry 1:
PuCu2PdO8 PBE relaxed; total magnetic moment = 0.061 μB per atom; uncorrected formation energy = -0.784 eV/atom; E_tot = -6.399 eV/atom
1.0
-3.2205 3.2205 3.5048
3.2205 -3.2205 3.5048
3.2205 3.2205 -3.5048
Pu Cu Pd O
1 2 1 8
Cartesian
0.0000 0.0000 0.0000
0.0000 0.0000 3.5048
0.0000 3.2205 1.7524
3.2205 0.0000 1.7524
2.0182 3.2205 -1.4763
1.2023 0.0000 2.0285
0.0000 1.9285 0.3549
3.2205 2.0182 1.4763
0.0000 4.5124 0.3549
0.0000 1.2023 4.9811
-1.2920 3.2205 3.1499
1.2920 3.2205 3.1499

---

Entry 2:
RbCuPdO2 PBE relaxed; total magnetic moment = 0.000 μB per atom; uncorrected formation energy = -0.581 eV/atom; E_tot = -4.615 eV/atom
1.0
3.4088 -6.3798 0.0000
3.4088 6.3798 0.0000
0.0000 0.0000 4.1333
Rb Cu Pd O
2 2 2 4
Cartesian
3.4088 3.1899 3.3361
3.4088 -3.1899 0.7973
0.0000 0.0000 0.0000
3.4088 0.0000 0.0000
1.7044 0.0000 2.0667
5.1131 0.0000 2.0667
3.4088 5.1848 1.4226
3.4088 1.1951 1.4226
3.4088 -1.1951 2.7108
3.4088 -5.1848 2.7108

---

Entry 3:
Rb2Cu2PdO6 PBE relaxed; total magnetic moment = 0.347 μB per atom; uncorrected formation energy = -0.667 eV/atom; E_tot = -4.765 eV/atom
1.0
2.9085 1.6792 6.0621
-2.9085 1.6792 6.0621
0.0000 -3.3584 6.0621
Rb Cu Pd O
2 2 1 6
Cartesian
0.0000 0.0000 3.8085
0.0000 0.0000 14.3777
0.0000 0.0000 7.1266
0.0000 0.0000 11.0597
0.0000 0.0000 0.0000
0.0000 -1.7830 7.3310
-1.5441 0.8915 7.3310
-1.5441 -0.8915 10.8553
1.5441 0.8915 7.3310
1.5441 -0.8915 10.8553
0.0000 1.7830 10.8553

---

Entry 4:
CuPdRhO4 PBE relaxed; total magnetic moment = 0.000 μB per atom; uncorrected formation energy = -0.552 eV/atom; E_tot = -5.763 eV/atom
1.0
-3.0641 3.0702 4.3121
3.0641 -3.0702 4.3121
3.0641 3.0702 -4.3121
Cu Pd Rh O
2 2 2 8
Cartesian
0.0000 1.5351 1.0714
3.0641 1.5351 3.2408
3.0641 0.0000 0.0000
0.0000 0.0000 4.3121
1.5321 1.5351 -2.1561
1.5321 -1.5351 2.1561
3.0641 -0.1467 2.0751
3.0641 2.9234 -2.0751
1.6345 1.5351 -0.0897
4.4938 1.5351 -0.0897
-1.4296 1.5351 4.4019
1.4296 1.5351 4.4019
0.0000 0.1467 6.3872
0.0000 3.2169 2.2371

---

Entry 5:
CuPd2RuO8 PBE relaxed; total magnetic moment = 0.000 μB per atom; uncorrected formation energy = -0.141 eV/atom; E_tot = -5.427 eV/atom
1.0
-3.1387 3.1387 3.4750
3.1387 -3.1387 3.4750
3.1387 3.1387 -3.4750
Cu Pd Ru O
1 2 1 8
Cartesian
0.0000 0.0000 0.0000
0.0000 0.0000 3.4750
0.0000 3.1387 1.7375
3.1387 0.0000 1.7375
1.9464 3.1387 -1.5284
1.1923 0.0000 1.9466
0.0000 2.0337 0.1002
3.1387 1.9464 1.5284
0.0000 4.2437 0.1002
0.0000 1.1923 5.0034
-1.1050 3.1387 3.3748
1.1050 3.1387 3.3748

---

Entry 6:
CuPdSO PBE relaxed; total magnetic moment = 0.000 μB per atom; uncorrected formation energy = -0.005 eV/atom; E_tot = -4.599 eV/atom
1.0
4.0303 0.0000 0.0000
0.0000 4.0303 0.0000
0.0000 0.0000 7.3916
Cu Pd S O
2 2 2 2
Cartesian
1.0076 3.0227 0.0000
3.0227 1.0076 0.0000
1.0076 1.0076 3.1916
3.0227 3.0227 4.2000
1.0076 1.0076 6.2493
3.0227 3.0227 1.1422
1.0076 3.0227 3.6958
3.0227 1.0076 3.6958

---

Entry 7:
CuSbPdO2 PBE relaxed; total magnetic moment = 0.000 μB per atom; uncorrected formation energy = 0.196 eV/atom; E_tot = -4.469 eV/atom
1.0
3.9270 0.0000 0.0000
0.0000 3.9270 0.0000
0.0000 0.0000 4.9603
Cu Sb Pd O
1 1 1 2
Cartesian
0.0000 0.0000 0.0000
1.9635 1.9635 0.0000
0.0000 0.0000 2.4802
0.0000 1.9635 2.4802
1.9635 0.0000 2.4802

---

Entry 8:
CuPdSe2O8 PBE relaxed; total magnetic moment = 0.000 μB per atom; uncorrected formation energy = -0.328 eV/atom; E_tot = -4.988 eV/atom
1.0
5.5728 0.0000 0.0000
-2.7864 4.8262 0.0000
0.0000 0.0000 6.1513
Cu Pd Se O
1 1 2 8
Cartesian
0.0000 0.0000 0.0000
0.0000 0.0000 3.0757
0.0000 3.2174 1.1534
2.7864 1.6087 4.9979
0.0000 1.5149 1.5844
-1.4744 4.0687 1.5844
1.3120 0.7575 4.5670
0.0000 3.2174 5.6763
2.7864 1.6087 0.4751
1.4744 4.0687 1.5844
4.2608 0.7575 4.5670
2.7864 3.3112 4.5670

---

Entry 9:
Sm2CuPdO5 PBE relaxed; total magnetic moment = 0.111 μB per atom; uncorrected formation energy = -1.771 eV/atom; E_tot = -6.607 eV/atom
1.0
6.6993 0.0000 0.0000
0.0000 6.6993 0.0000
0.0000 0.0000 5.7264
Sm Cu Pd O
4 2 2 10
Cartesian
1.1628 2.1869 0.0000
2.1869 5.5365 0.0000
4.5125 1.1628 0.0000
5.5365 4.5125 0.0000
0.0000 0.0000 2.8632
3.3497 3.3497 2.8632
0.0000 3.3497 2.8632
3.3497 0.0000 2.8632
0.0000 0.0000 0.0000
0.9327 4.2824 1.4052
0.9327 4.2824 4.3212
2.4169 0.9327 1.4052
2.4169 0.9327 4.3212
3.3497 3.3497 0.0000
4.2824 5.7666 1.4052
4.2824 5.7666 4.3212
5.7666 2.4169 1.4052
5.7666 2.4169 4.3212

---

Entry 10:
Sr2CuPdO5 PBE relaxed; total magnetic moment = 0.113 μB per atom; uncorrected formation energy = -1.503 eV/atom; E_tot = -5.663 eV/atom
1.0
1.6614 -7.5073 0.0000
1.6614 7.5073 0.0000
0.0000 0.0000 9.7808
Sr Cu Pd O
4 2 2 10
Cartesian
1.6614 5.7222 4.8904
1.6614 5.6519 1.0292
1.6614 -5.6519 5.9196
1.6614 -5.7222 0.0000
1.6614 0.6183 2.6375
1.6614 -0.6183 7.5279
1.6614 4.2494 7.9475
1.6614 -4.2494 3.0571
1.6614 6.3371 8.1917
1.6614 3.2661 4.3448
1.6614 3.1657 1.7614
1.6614 2.1953 7.8752
1.6614 0.0604 0.8511
1.6614 -0.0604 5.7415
1.6614 -2.1953 2.9848
1.6614 -3.1657 6.6518
1.6614 -3.2661 9.2352
1.6614 -6.3371 3.3013

---

Entry 11:
Sr3Cu2PdO6 PBE relaxed; total magnetic moment = 0.000 μB per atom; uncorrected formation energy = -1.426 eV/atom; E_tot = -5.441 eV/atom
1.0
5.8136 0.0000 0.0000
-2.9068 5.0347 0.0000
0.0000 0.0000 6.3168
Sr Cu Pd O
3 2 1 6
Cartesian
0.0000 0.0000 0.0000
0.0000 3.3565 3.9439
2.9068 1.6782 2.3729
0.0000 3.3565 1.0057
2.9068 1.6782 5.3111
0.0000 0.0000 3.1584
0.0000 1.6814 1.9194
-1.4507 4.1940 1.9194
1.4561 0.8407 4.3974
1.4507 4.1940 1.9194
4.3574 0.8407 4.3974
2.9068 3.3533 4.3974

---

Entry 12:
SrCuPd2O4 PBE relaxed; total magnetic moment = 0.133 μB per atom; uncorrected formation energy = -0.964 eV/atom; E_tot = -5.464 eV/atom
1.0
5.3908 0.0000 0.0000
0.0000 5.7647 0.0000
0.0000 0.0000 6.8303
Sr Cu Pd O
2 2 4 8
Cartesian
0.0000 0.0000 0.0000
2.6954 2.8824 3.4152
0.0000 0.0000 3.4152
2.6954 2.8824 0.0000
0.0000 2.8824 1.6201
0.0000 2.8824 5.2102
2.6954 0.0000 1.7951
2.6954 0.0000 5.0352
0.9913 1.1301 2.1006
0.9913 4.6347 4.7297
1.7041 1.7523 5.5158
1.7041 4.0124 1.3146
3.6867 1.7523 1.3146
3.6867 4.0124 5.5158
4.3995 1.1301 4.7297
4.3995 4.6347 2.1006

---

Entry 13:
Sr2CuPdO4 PBE relaxed; total magnetic moment = 0.134 μB per atom; uncorrected formation energy = -1.473 eV/atom; E_tot = -5.534 eV/atom
1.0
6.0708 0.0000 0.0000
0.0000 6.0708 0.0000
0.0000 0.0000 6.3916
Sr Cu Pd O
4 2 2 8
Cartesian
0.0000 0.0000 0.0000
0.0000 3.0354 1.5979
3.0354 0.0000 4.7937
3.0354 3.0354 3.1958
0.0000 3.0354 4.7937
3.0354 0.0000 1.5979
0.0000 0.0000 3.1958
3.0354 3.0354 0.0000
0.9910 4.3040 3.5321
1.2685 2.0445 6.0554
1.7669 0.9910 2.8595
2.0445 4.8023 0.3363
4.0264 1.2685 0.3363
4.3040 5.0799 2.8595
4.8023 4.0264 6.0554
5.0799 1.7669 3.5321

---

Entry 14:
SrCuPdO4 PBE relaxed; total magnetic moment = 0.389 μB per atom; uncorrected formation energy = -0.866 eV/atom; E_tot = -5.266 eV/atom
1.0
3.1041 -4.5711 0.0000
3.1041 4.5711 0.0000
0.0000 0.0000 7.3152
Sr Cu Pd O
2 2 2 8
Cartesian
0.0000 0.0000 0.0000
0.0000 0.0000 3.6576
3.1041 1.3038 5.4864
3.1041 -1.3038 1.8288
3.1041 1.5393 1.8288
3.1041 -1.5393 5.4864
1.6520 0.0372 1.8288
1.6520 -0.0372 5.4864
3.1041 1.9545 3.7303
3.1041 1.9545 7.2425
3.1041 -1.9545 0.0727
3.1041 -1.9545 3.5849
4.5562 0.0372 1.8288
4.5562 -0.0372 5.4864

---

Entry 15:
Sr2CuPd2O6 PBE relaxed; total magnetic moment = 0.000 μB per atom; uncorrected formation energy = -1.038 eV/atom; E_tot = -5.365 eV/atom
1.0
2.9732 1.7166 5.3230
-2.9732 1.7166 5.3230
0.0000 -3.4332 5.3230
Sr Cu Pd O
2 1 2 6
Cartesian
0.0000 0.0000 3.3998
0.0000 0.0000 12.5691
0.0000 0.0000 0.0000
0.0000 0.0000 6.5686
0.0000 0.0000 9.4004
-1.6777 -0.9686 9.3030
0.0000 -1.9372 6.6659
-1.6777 0.9686 6.6659
1.6777 -0.9686 9.3030
0.0000 1.9372 9.3030
1.6777 0.9686 6.6660

---

Entry 16:
Sr2Cu2PdO6 PBE relaxed; total magnetic moment = 0.188 μB per atom; uncorrected formation energy = -1.253 eV/atom; E_tot = -5.480 eV/atom
1.0
2.9039 1.6766 5.2860
-2.9039 1.6766 5.2860
0.0000 -3.3532 5.2860
Sr Cu Pd O
2 2 1 6
Cartesian
0.0000 0.0000 3.3989
0.0000 0.0000 12.4589
0.0000 0.0000 6.5348
0.0000 0.0000 9.3231
0.0000 0.0000 0.0000
-1.5844 -0.9148 9.2114
0.0000 -1.8295 6.6465
-1.5844 0.9148 6.6465
1.5844 -0.9148 9.2114
0.0000 1.8296 9.2114
1.5844 0.9148 6.6465

---

Entry 17:
Tb2CuPdO6 PBE relaxed; total magnetic moment = 0.103 μB per atom; uncorrected formation energy = -2.010 eV/atom; E_tot = -6.840 eV/atom
1.0
5.3620 0.0000 0.0000
0.0000 5.8530 0.0000
-5.3214 0.0000 7.4938
Tb Cu Pd O
4 2 2 12
Cartesian
-0.1180 0.4867 1.8736
-2.7787 2.4398 5.6205
2.8192 3.4131 1.8733
0.1585 5.3663 5.6202
2.6810 0.0000 0.0000
0.0203 2.9265 3.7469
-2.6607 0.0000 3.7469
0.0000 2.9265 0.0000
-4.3488 1.1335 7.0766
-1.6880 1.7929 3.3297
-3.6369 4.0258 7.0636
-0.9762 4.7537 3.3167
-1.9946 0.2645 5.6590
0.6661 2.6620 1.9121
-0.6256 3.1910 5.5817
2.0351 5.5885 1.8348
1.0167 1.0993 4.1771
3.6775 1.8272 0.4302
1.7285 4.0600 4.1641
4.3893 4.7194 0.4172

---

Entry 18:
Tb2CuPdO5 PBE relaxed; total magnetic moment = 0.113 μB per atom; uncorrected formation energy = -1.834 eV/atom; E_tot = -6.649 eV/atom
1.0
6.5471 0.0000 0.0000
0.0000 6.5471 0.0000
0.0000 0.0000 5.7156
Tb Cu Pd O
4 2 2 10
Cartesian
1.1330 2.1405 0.0000
2.1405 5.4140 0.0000
4.4065 1.1330 0.0000
5.4140 4.4065 0.0000
0.0000 0.0000 2.8578
3.2735 3.2735 2.8578
0.0000 3.2735 2.8578
3.2735 0.0000 2.8578
0.0000 0.0000 0.0000
0.9207 4.1943 1.3834
0.9207 4.1943 4.3321
2.3528 0.9207 1.3834
2.3528 0.9207 4.3321
3.2735 3.2735 0.0000
4.1943 5.6263 1.3834
4.1943 5.6263 4.3321
5.6263 2.3528 1.3834
5.6263 2.3528 4.3321

---

Entry 19:
TbCuPdO4 PBE relaxed; total magnetic moment = 0.000 μB per atom; uncorrected formation energy = -1.430 eV/atom; E_tot = -6.252 eV/atom
1.0
-3.1509 3.3856 4.2969
3.1509 -3.3856 4.2969
3.1509 3.3856 -4.2969
Tb Cu Pd O
2 2 2 8
Cartesian
0.0000 0.0000 0.0000
0.0000 3.3856 0.0000
3.1509 1.6928 0.9960
0.0000 1.6928 3.3010
1.5754 1.6928 -2.1485
1.5754 -1.6928 2.1485
3.1509 -0.2479 2.0050
3.1509 3.1377 -2.0050
1.4864 1.6928 -0.0450
1.6644 -1.6928 4.2519
1.4864 5.0784 0.0450
1.6644 1.6928 4.3420
0.0000 0.2479 6.3019
0.0000 3.6335 2.2920

---

Entry 20:
TbCu4Pd3O12 PBE relaxed; total magnetic moment = 0.082 μB per atom; uncorrected formation energy = -0.746 eV/atom; E_tot = -5.551 eV/atom
1.0
-3.7345 3.7345 3.7345
3.7345 -3.7345 3.7345
3.7345 3.7345 -3.7345
Tb Cu Pd O
1 4 3 12
Cartesian
0.0000 0.0000 0.0000
1.8672 1.8672 -1.8672
1.8672 -1.8672 1.8672
-1.8672 1.8672 1.8672
1.8672 1.8672 1.8672
3.7345 0.0000 0.0000
0.0000 3.7345 0.0000
0.0000 0.0000 3.7345
3.7345 -1.5120 2.4192
2.2225 1.3153 0.0000
5.2465 1.3153 0.0000
2.4192 3.7345 -1.5120
1.3153 0.0000 2.2225
0.0000 2.2225 1.3153
3.7345 1.5120 2.4192
2.4192 3.7345 1.5120
1.3153 0.0000 5.2465
-1.5120 2.4192 3.7345
1.5120 2.4192 3.7345
0.0000 5.2465 1.3153